A relaxed GdHoInRu crystal. Source: the Alexandria database, functional PBE.

Properties
**Space-group type**: F-43m
**E_form**: -7.410 kcal/mol of atoms
**DOS at the Fermi energy**: 2.6 states/eV/cell

```
GdHoInRu
1.0
0.0000 3.5870 3.5870
3.5870 0.0000 3.5870
3.5870 3.5870 0.0000
Gd Ho In Ru
1 1 1 1
Cartesian
0.0000 0.0000 0.0000
3.5870 3.5870 3.5870
5.3805 5.3805 5.3805
1.7935 1.7935 1.7935
```